Entry 1:
This record from OQMD describes a relaxed structure of Tm3Mg3Tl2Pt. The functional is PBE.

Total magnetic moment = 0.01 μB/f.u.
E = -3.715 eV per atom
Space group = P-62m

Cell lengths 7.4537, 7.4537, 4.3814 Å; angles 90.00, 90.00, 120.00 degrees
Positions (direct):
Tm1 0.6033 0.0000 0.0000
Tm2 0.0000 0.6033 0.0000
Tm3 0.3967 0.3967 0.0000
Tl1 0.3333 0.6667 0.5000
Tl2 0.6667 0.3333 0.5000
Mg1 0.0000 0.2331 0.5000
Mg2 0.7669 0.7669 0.5000
Mg3 0.2331 0.0000 0.5000
Pt1 0.0000 0.0000 0.0000

---

Entry 2:
This record from OQMD describes a relaxed structure of Cu5SbPd6. The functional is PBE.

E = -4.715 eV per atom
Space group = Cmmm

Cell lengths 6.4806, 6.4806, 6.8070 Å; angles 90.00, 90.00, 142.97 degrees
Positions (direct):
Cu1 0.6758 0.3242 0.0000
Cu2 0.3242 0.6758 0.0000
Cu3 0.6673 0.3327 0.5000
Cu4 0.0000 0.0000 0.5000
Cu5 0.3327 0.6673 0.5000
Pd1 0.8331 0.1673 0.2566
Pd2 0.1669 0.8327 0.7434
Pd3 0.5002 0.5002 0.2553
Pd4 0.1673 0.8331 0.2566
Pd5 0.4998 0.4998 0.7447
Pd6 0.8327 0.1669 0.7434
Sb1 0.0000 0.0000 0.0000

---

Entry 3:
This record from OQMD describes a relaxed structure of PrNbN2O. The functional is PBE.

Total magnetic moment = 0.00 μB/f.u.
E = -8.994 eV per atom
Space group = Ima2

Cell lengths 5.7018, 5.7018, 5.7018 Å; angles 91.94, 118.79, 118.98 degrees
Positions (direct):
N1 0.7280 0.9237 0.6992
N2 0.2245 0.4237 0.6957
N3 0.7280 0.5288 0.3043
N4 0.2245 0.0288 0.3008
O1 0.3353 0.9863 0.8490
O2 0.1372 0.4863 0.1510
Pr1 0.6861 0.4499 0.7362
Pr2 0.7137 0.9499 0.2638
Nb1 0.1921 0.1921 0.0000
Nb2 0.1921 0.6921 0.5000

---

Entry 4:
This record from OQMD describes a relaxed structure of YLuZn2Ge2. The functional is PBE.

Total magnetic moment = 0.00 μB/f.u.
Distance to the lowest polymorph of the same formula = 0 meV per atom
Space group = P6_3/mmc

Cell lengths 4.1978, 4.1978, 15.5921 Å; angles 90.00, 90.00, 120.00 degrees
Positions (direct):
Lu1 0.0000 0.0000 0.2500
Lu2 0.0000 0.0000 0.7500
Y1 0.0000 0.0000 0.0000
Y2 0.0000 0.0000 0.5000
Ge1 0.6667 0.3333 0.8854
Ge2 0.3333 0.6667 0.1146
Ge3 0.3333 0.6667 0.3854
Ge4 0.6667 0.3333 0.6146
Zn1 0.3333 0.6667 0.6467
Zn2 0.6667 0.3333 0.3533
Zn3 0.3333 0.6667 0.8533
Zn4 0.6667 0.3333 0.1467

---

Entry 5:
This record from OQMD describes a relaxed structure of LiHoAsO. The functional is PBE.

Total magnetic moment = 0.03 μB/f.u.
Distance to the lowest polymorph of the same formula = 532 meV per atom
Space group = P4/nmm

Cell lengths 5.6919, 5.6919, 4.5765 Å; angles 90.00, 90.00, 90.00 degrees
Positions (direct):
As1 0.2500 0.2500 0.5014
As2 0.7500 0.7500 0.4986
O1 0.2500 0.7500 0.0000
O2 0.7500 0.2500 0.0000
Li1 0.2500 0.2500 0.0013
Li2 0.7500 0.7500 0.9987
Ho1 0.2500 0.7500 0.5000
Ho2 0.7500 0.2500 0.5000

---

Entry 6:
This record from OQMD describes a relaxed structure of TmTlZnTe3. The functional is PBE.

Total magnetic moment = 0.00 μB/f.u.
Distance to the lowest polymorph of the same formula = 21 meV per atom
Space group = P2_1/m

Cell lengths 8.8284, 4.3259, 11.1707 Å; angles 90.00, 109.53, 90.00 degrees
Positions (direct):
Te1 0.0561 0.2500 0.3569
Te2 0.4378 0.7500 0.6568
Te3 0.5622 0.2500 0.3432
Te4 0.7336 0.7500 0.0584
Te5 0.2664 0.2500 0.9416
Te6 0.9439 0.7500 0.6431
Zn1 0.5784 0.2500 0.1107
Zn2 0.4216 0.7500 0.8893
Tl1 0.2347 0.7500 0.2077
Tl2 0.7653 0.2500 0.7923
Tm1 0.1881 0.2500 0.6428
Tm2 0.8119 0.7500 0.3572

---

Entry 7:
This record from OQMD describes a relaxed structure of RbSbAu. The functional is PBE.

Distance to the lowest polymorph of the same formula = 0 meV per atom
Space group = F-43m

Cell lengths 5.1851, 5.1851, 5.1851 Å; angles 60.00, 60.00, 60.00 degrees
Positions (direct):
Rb1 0.2500 0.2500 0.2500
Sb1 0.7500 0.7500 0.7500
Au1 0.0000 0.0000 0.0000

---

Entry 8:
This record from OQMD describes a relaxed structure of FeReSiHg. The functional is PBE.

Total magnetic moment = 2.55 μB/f.u.
Distance to the lowest polymorph of the same formula = 341 meV per atom
Space group = F-43m

Cell lengths 4.4228, 4.4228, 4.4228 Å; angles 60.00, 60.00, 60.00 degrees
Positions (direct):
Fe1 0.7500 0.7500 0.7500
Re1 0.5000 0.5000 0.5000
Hg1 0.2500 0.2500 0.2500
Si1 0.0000 0.0000 0.0000

---

V: 23.4 14.3 13.3 19.8 18.5 33.5 32.9 15.3 (A^3/atom)